(P)
Here is crystalline Zn at its relaxed geometry from the Open Quantum Materials Database. Energies are from PBE.

Values from the calculation:
**Symmetry**: Pm-3n
**Calculated density**: 7249 kg/m3
**Volume**: 14.983 A^3/atom

```
8
Lattice="4.931 0.000 0.000 0.000 4.931 0.000 0.000 0.000 4.931" Properties=species:S:1:pos:R:3 pbc="T T T"
Zn 0.000 0.000 0.000
Zn 0.000 1.233 2.465
Zn 0.000 3.698 2.465
Zn 1.233 2.465 0.000
Zn 2.465 0.000 1.233
Zn 2.465 0.000 3.698
Zn 2.465 2.465 2.465
Zn 3.698 2.465 0.000
```

(Q)
Here is crystalline Zn at its relaxed geometry from the Open Quantum Materials Database. Energies are from PBE.

Values from the calculation:
**Symmetry**: Cmcm
**Calculated density**: 7599 kg/m3
**Volume**: 14.293 A^3/atom

```
2
Lattice="1.318 -2.347 0.000 1.318 2.347 0.000 0.000 0.000 4.621" Properties=species:S:1:pos:R:3 pbc="T T T"
Zn 1.318 1.618 3.466
Zn 1.318 -1.618 1.155
```

Which is most stable, and by how much? (Q), by 0.018 eV/atom.

(P)
Here is crystalline HoAgAu at its relaxed geometry from the Open Quantum Materials Database. Energies are from PBE.

Values from the calculation:
**Symmetry**: P4/mmm
**Calculated density**: 12386 kg/m3
**Volume**: 20.993 A^3/atom
**Magnetic moment**: 0.001 μB/f.u.

```
6
Lattice="3.719 0.000 0.000 0.000 3.719 0.000 0.000 0.000 9.107" Properties=species:S:1:pos:R:3 pbc="T T T"
Ho 0.000 0.000 0.000
Ho 1.859 1.859 4.554
Ag 0.000 0.000 3.029
Ag 0.000 0.000 6.078
Au 1.859 1.859 1.518
Au 1.859 1.859 7.590
```

(Q)
Here is crystalline HoAgAu at its relaxed geometry from the Open Quantum Materials Database. Energies are from PBE.

Values from the calculation:
**Symmetry**: P4/nmm
**Calculated density**: 12301 kg/m3
**Volume**: 21.139 A^3/atom
**Magnetic moment**: 0.001 μB/f.u.

```
6
Lattice="3.727 0.000 0.000 0.000 3.727 0.000 0.000 0.000 9.130" Properties=species:S:1:pos:R:3 pbc="T T T"
Ho 0.932 0.932 2.199
Ho 2.795 2.795 6.931
Ag 0.932 0.932 5.255
Ag 2.795 2.795 3.876
Au 0.932 0.932 8.289
Au 2.795 2.795 0.842
```

Which is most stable, and by how much? (Q), by 0.011 eV/atom.

(P)
Here is crystalline AlIrNO at its relaxed geometry from the Open Quantum Materials Database. Energies are from PBE.

Values from the calculation:
**Symmetry**: P4/nmm
**Calculated density**: 8252 kg/m3
**Volume**: 12.537 A^3/atom
**Magnetic moment**: 0.000 μB/f.u.

```
8
Lattice="3.747 0.000 0.000 0.000 3.747 0.000 0.000 0.000 7.145" Properties=species:S:1:pos:R:3 pbc="T T T"
Al 0.937 2.810 0.000
Al 2.810 0.937 0.000
Ir 0.937 0.937 2.776
Ir 2.810 2.810 4.369
N 0.937 0.937 6.662
N 2.810 2.810 0.483
O 0.937 2.810 3.573
O 2.810 0.937 3.573
```

(Q)
Here is crystalline AlIrNO at its relaxed geometry from the Open Quantum Materials Database. Energies are from PBE.

Values from the calculation:
**Symmetry**: Pca2_1
**Calculated density**: 8598 kg/m3
**Volume**: 12.033 A^3/atom
**Magnetic moment**: 0.001 μB/f.u.

```
16
Lattice="5.324 0.000 0.000 0.000 7.506 0.000 0.000 0.000 4.817" Properties=species:S:1:pos:R:3 pbc="T T T"
Al 0.350 0.857 0.000
Al 2.312 0.857 2.409
Al 3.013 6.650 0.000
Al 4.974 6.650 2.409
Ir 0.579 3.975 4.408
Ir 2.084 3.975 2.000
Ir 3.241 3.531 4.408
Ir 4.746 3.531 2.000
N 0.529 5.093 2.708
N 2.133 5.093 0.299
N 3.191 2.413 2.708
N 4.796 2.413 0.299
O 0.710 0.437 3.122
O 1.952 0.437 0.714
O 3.373 7.069 3.122
O 4.614 7.069 0.714
```

Which is most stable, and by how much? (Q), by 1.176 eV/atom.